First-principles (PBE) data for a relaxed Hf4TaZn3 crystal, as listed in Alexandria via LeMat-Bulk.

* energy of formation: -129 meV/atom
* spin magnetization: 0.00 μB per atom
* DOS(E_F): 5.8 states/eV/f.u.
* uncorrected energy: -7.065 eV per atom

POSCAR file:
```
Hf4TaZn3
1.0
-1.6886 0.7309 -2.7640
-2.7132 -1.4216 1.2817
-3.6822 11.8907 5.3938
Zn Hf Ta
3 4 1
Direct
0.5000 0.5000 0.2568 Zn
0.5000 0.5000 0.5000 Zn
0.5000 0.5000 0.7432 Zn
0.0000 0.0000 0.8693 Hf
0.0000 0.0000 0.1307 Hf
0.0000 0.0000 0.3778 Hf
0.0000 0.0000 0.6222 Hf
0.5000 0.5000 0.0000 Ta
```



First-principles (PBE) data for a relaxed TlIr2Cl crystal, as listed in Alexandria via LeMat-Bulk.

* spin magnetization: 0.35 μB per atom
* DOS(E_F): 4.2 states/eV/f.u.
* raw formation energy: 91 kJ/mol of atoms
* uncorrected energy: -4.540 eV per atom

POSCAR file:
```
TlIr2Cl
1.0
-0.8779 0.7523 4.5320
-2.1418 -3.2885 2.5444
2.3835 -2.3518 3.2655
Tl Ir Cl
1 2 1
Direct
0.7500 0.7500 0.7500 Tl
0.0000 0.0000 0.0000 Ir
0.2500 0.2500 0.2500 Ir
0.5000 0.5000 0.5000 Cl
```



First-principles (PBE) data for a relaxed AcCePm2Bi4 crystal, as listed in Alexandria via LeMat-Bulk.

* energy of formation: -907 meV/atom
* spin magnetization: 0.11 μB per atom
* DOS(E_F): 7.0 states/eV/f.u.
* uncorrected energy: -5.290 eV per atom

POSCAR file:
```
AcCePm2Bi4
1.0
4.6662 0.0000 0.0000
0.0000 8.0759 -0.1609
0.0000 2.8412 7.5643
Ac Ce Pm Bi
1 1 2 4
Direct
0.0000 0.5000 0.5000 Ac
0.5000 0.5000 0.0000 Ce
0.0000 0.0000 0.0000 Pm
0.5000 0.0000 0.5000 Pm
0.0000 0.7553 0.7556 Bi
0.0000 0.2447 0.2444 Bi
0.5000 0.7606 0.2387 Bi
0.5000 0.2394 0.7613 Bi
```



First-principles (PBE) data for a relaxed Na3Tl2Ga crystal, as listed in Alexandria via LeMat-Bulk.

* energy of formation: -57 meV/atom
* spin magnetization: 0.00 μB per atom
* DOS(E_F): 2.9 states/eV/f.u.
* uncorrected energy: -2.009 eV per atom

POSCAR file:
```
Na3Tl2Ga
1.0
4.5725 0.0230 0.0010
2.3131 7.3125 0.0005
-0.0022 -0.0001 9.7329
Na Tl Ga
6 4 2
Direct
0.8351 0.3297 0.7551 Na
0.5000 0.0000 0.2420 Na
0.1649 0.6703 0.2449 Na
0.8351 0.3297 0.2449 Na
0.1649 0.6703 0.7551 Na
0.5000 0.0000 0.7580 Na
0.0000 0.0000 0.0000 Tl
0.0000 0.0000 0.5000 Tl
0.3316 0.3356 0.5000 Tl
0.6684 0.6644 0.5000 Tl
0.2988 0.4041 0.0000 Ga
0.7012 0.5959 0.0000 Ga
```



First-principles (PBE) data for a relaxed NaInSn2Br8 crystal, as listed in Alexandria via LeMat-Bulk.

* spin magnetization: 0.00 μB per atom
* raw formation energy: -85 kJ/mol of atoms
* uncorrected energy: -3.005 eV per atom

POSCAR file:
```
NaInSn2Br8
1.0
-0.2767 -5.3671 4.6541
-3.3589 -3.8555 -4.3629
7.4470 -3.0340 -3.0619
Na In Sn Br
1 1 2 8
Direct
0.0000 0.0000 0.5000 Na
0.0000 0.0000 0.0000 In
0.5004 0.4999 0.7514 Sn
0.4996 0.5001 0.2486 Sn
0.1485 0.7656 0.2327 Br
0.6840 0.7754 0.9996 Br
0.8509 0.2336 0.2323 Br
0.8515 0.2344 0.7673 Br
0.3160 0.2246 0.0004 Br
0.1491 0.7664 0.7677 Br
0.6544 0.7268 0.5001 Br
0.3456 0.2732 0.4999 Br
```



First-principles (PBE) data for a relaxed Tb2CeDyTm5 crystal, as listed in Alexandria via LeMat-Bulk.

* energy of formation: 172 meV/atom
* spin magnetization: 0.06 μB per atom
* DOS(E_F): 15.4 states/eV/f.u.
* uncorrected energy: -4.512 eV per atom

POSCAR file:
```
Tb2CeDyTm5
1.0
5.6288 0.0000 0.0000
-2.8144 10.6378 0.0000
0.0000 0.0000 9.4849
Tb Ce Dy Tm
4 2 2 10
Direct
0.8868 0.7737 0.8214 Tb
0.1349 0.2698 0.7062 Tb
0.1132 0.2263 0.3214 Tb
0.8651 0.7302 0.2062 Tb
0.8072 0.6144 0.5195 Ce
0.1928 0.3856 0.0195 Ce
0.5966 0.1933 0.9271 Dy
0.4034 0.8067 0.4271 Dy
0.3946 0.7891 0.0422 Tm
0.7337 0.4674 0.8342 Tm
0.4716 0.9431 0.7449 Tm
0.3074 0.6147 0.7150 Tm
0.9859 0.9719 0.5134 Tm
0.6054 0.2109 0.5422 Tm
0.2663 0.5326 0.3342 Tm
0.5284 0.0569 0.2449 Tm
0.6926 0.3853 0.2150 Tm
0.0141 0.0281 0.0134 Tm
```